a) Y2Er8Sc | Alexandria | PBE | optimized geometry; total magnetization = 0.0 μB per formula unit; symmetry = C2/m, No. 12
1.0
5.553 1.640 0.000
2.635 8.448 0.000
1.317 4.224 7.982
Y Er Sc
2 8 1
Direct
0.000 0.308 0.385
0.000 0.692 0.615
0.821 0.100 0.234
0.821 0.334 0.766
0.298 0.424 0.000
0.500 0.798 0.403
0.500 0.202 0.597
0.702 0.576 0.000
0.179 0.666 0.234
0.179 0.900 0.766
0.500 0.000 0.000

=====

b) Y2Er8Sc | Alexandria | PBE | optimized geometry; total magnetization = 0.0 μB per formula unit; symmetry = P-1, No. 2
1.0
5.875 0.737 2.602
1.419 9.147 5.993
1.123 3.792 9.131
Y Er Sc
2 8 1
Direct
0.834 0.680 0.812
0.166 0.320 0.188
0.225 0.428 0.708
0.635 0.051 0.754
0.253 0.853 0.747
0.747 0.147 0.253
0.365 0.949 0.246
0.775 0.572 0.292
0.672 0.550 0.672
0.328 0.450 0.328
0.000 0.000 0.000

=====

Question: which arrangement is favored energetically? Ranking from most to least stable: b), a).